YSc2I | the Alexandria database | PBE | optimized geometry; total magnetic moment = 0.0 μB per cell; energy above the most stable polymorph in this dataset = 463 meV per atom; raw formation energy = 0.239 eV/atom
1.0
-5.0164 -1.5064 0.7538
-3.6291 3.5444 1.5065
-3.7622 1.5383 -3.3884
Sc I Y
2 1 1
Direct
0.2500 0.2500 0.2500
0.7500 0.7500 0.7500
0.5000 0.5000 0.5000
0.0000 0.0000 0.0000


TmZrSc2 | the Alexandria database | PBE | optimized geometry; total magnetic moment = 0.0 μB per cell; energy above the most stable polymorph in this dataset = 22 meV per atom
1.0
4.6089 0.0000 0.0000
0.0000 4.6588 0.0000
0.0000 0.0000 4.6588
Sc Zr Tm
2 1 1
Direct
0.0000 0.5000 0.0000
0.0000 0.0000 0.5000
0.5000 0.0000 0.0000
0.5000 0.5000 0.5000